Record 1
# MgAl2Ga3

A relaxed structure of MgAl2Ga3 (GGA-PBE, Alexandria via LeMat-Bulk).

abc: 4.192 4.240 6.406
angles: 109.33 90.00 90.00
Fractional positions:
Mg: 0.000 0.000 0.000
Al: 0.000 0.672 0.345
Al: 0.000 0.328 0.655
Ga: 0.500 0.169 0.338
Ga: 0.500 0.500 0.000
Ga: 0.500 0.831 0.662

Output
Crystal system: orthorhombic
Symmetry: Cmmm (65)
Energy of formation in meV per atom: -28
Fermi-level density of states in states/eV/atom: 0.2976
ΔE to the lowest computed polymorph in meV per atom: 0

=====

Record 2
# Pm4SmCd3

A relaxed structure of Pm4SmCd3 (GGA-PBE, Alexandria via LeMat-Bulk).

abc: 3.791 5.538 11.209
angles: 90.00 90.00 90.00
Fractional positions:
Cd: 0.500 0.000 0.248
Cd: 0.500 0.500 0.500
Cd: 0.500 0.000 0.752
Sm: 0.500 0.500 0.000
Pm: 0.000 0.000 0.500
Pm: 0.000 0.500 0.736
Pm: 0.000 0.000 0.000
Pm: 0.000 0.500 0.264

Output
Crystal system: orthorhombic
Symmetry: Pmmm (47)
Energy of formation in meV per atom: -187
Fermi-level density of states in states/eV/atom: 1.4558

=====

Record 3
# ZrAlGe2

A relaxed structure of ZrAlGe2 (GGA-PBE, Alexandria via LeMat-Bulk).

abc: 3.864 3.864 6.592
angles: 72.96 72.96 60.00
Fractional positions:
Ge: 0.255 0.255 0.235
Ge: 0.745 0.745 0.765
Al: 0.000 0.000 0.000
Zr: 0.500 0.500 0.500

Output
Crystal system: trigonal
Symmetry: R-3m (166)
Energy of formation in meV per atom: -66
Fermi-level density of states in states/eV/atom: 0.5143

=====

Record 4
# Ag2HgF4

A relaxed structure of Ag2HgF4 (GGA-PBE, Alexandria via LeMat-Bulk).

abc: 7.373 7.373 9.261
angles: 90.00 90.00 90.00
Fractional positions:
Hg: 0.000 0.727 0.500
Hg: 0.273 0.000 0.750
Hg: 0.727 0.000 0.250
Hg: 0.000 0.273 0.000
Ag: 0.771 0.771 0.875
Ag: 0.229 0.771 0.125
Ag: 0.771 0.229 0.625
Ag: 0.229 0.229 0.375
Ag: 0.710 0.500 0.250
Ag: 0.500 0.290 0.000
Ag: 0.500 0.710 0.500
Ag: 0.290 0.500 0.750
F: 0.237 0.942 0.494
F: 0.763 0.942 0.506
F: 0.058 0.237 0.744
F: 0.763 0.058 0.994
F: 0.231 0.482 0.019
F: 0.518 0.231 0.269
F: 0.482 0.769 0.769
F: 0.231 0.518 0.481
F: 0.769 0.482 0.981
F: 0.769 0.518 0.519
F: 0.482 0.231 0.731
F: 0.518 0.769 0.231
F: 0.942 0.237 0.256
F: 0.237 0.058 0.006
F: 0.942 0.763 0.244
F: 0.058 0.763 0.756

Output
Crystal system: tetragonal
Symmetry: P4_122 (91)
Fermi-level density of states in states/eV/atom: 0.5096
E_form (uncorrected) in eV/atom: -1.1454
ΔE to the lowest computed polymorph in meV per atom: 1

=====

Record 5
# Ta2CuSe

A relaxed structure of Ta2CuSe (GGA-PBE, Alexandria via LeMat-Bulk).

abc: 3.427 3.427 5.701
angles: 90.00 90.00 90.00
Fractional positions:
Cu: 0.000 0.000 0.473
Se: 0.500 0.500 0.759
Ta: 0.000 0.000 0.998
Ta: 0.500 0.500 0.270

Output
Crystal system: tetragonal
Symmetry: P4mm (99)
Fermi-level density of states in states/eV/atom: 0.9241
E_form (uncorrected) in eV/atom: 0.0502

=====

Record 6
# LiSiIr2

A relaxed structure of LiSiIr2 (GGA-PBE, Alexandria via LeMat-Bulk).

abc: 2.735 2.735 8.828
angles: 90.00 90.00 119.03
Fractional positions:
Ir: 0.000 0.000 0.981
Ir: 0.500 0.500 0.255
Li: 0.000 0.000 0.504
Si: 0.500 0.500 0.760

Output
Crystal system: orthorhombic
Symmetry: Cmm2 (35)
Fermi-level density of states in states/eV/atom: 0.8607
E_form (uncorrected) in eV/atom: 0.0006

=====

Question: Which of these has the highest Fermi-level density of states?
Answer: Pm4SmCd3

=====

Repeat the third record exactly.
# ZrAlGe2

A relaxed structure of ZrAlGe2 (GGA-PBE, Alexandria via LeMat-Bulk).

abc: 3.864 3.864 6.592
angles: 72.96 72.96 60.00
Fractional positions:
Ge: 0.255 0.255 0.235
Ge: 0.745 0.745 0.765
Al: 0.000 0.000 0.000
Zr: 0.500 0.500 0.500

Output
Crystal system: trigonal
Symmetry: R-3m (166)
Energy of formation in meV per atom: -66
Fermi-level density of states in states/eV/atom: 0.5143